(1)
This record from the Alexandria database describes a relaxed SmEr8Tl6 crystal. The functional is PBE.

Computed properties:
Crystal system ... trigonal
Energy of formation from the pure elements ... -0.119 eV per atom

Lattice parameters (Å, degrees): 8.3318 8.3318 8.3318 65.76 65.76 65.76
Closest atoms and distances in Å follow each position.
Atoms (fractional coordinates):
Sm (0.0000, 0.0000, 0.0000)  6 Tl 3.31, 6 Er 3.69
Er (0.1102, 0.4419, 0.7769)  5 Tl 3.09-3.40
Er (0.2231, 0.8898, 0.5581)  5 Tl 3.09-3.40
Er (0.3329, 0.3329, 0.3329)  6 Tl 3.25-3.26
Er (0.4419, 0.7769, 0.1102)  5 Tl 3.09-3.40
Er (0.5581, 0.2231, 0.8898)  5 Tl 3.09-3.40
Er (0.6671, 0.6671, 0.6671)  6 Tl 3.25-3.26
Er (0.7769, 0.1102, 0.4419)  5 Tl 3.09-3.40
Er (0.8898, 0.5581, 0.2231)  5 Tl 3.09-3.40
Tl (0.0652, 0.7274, 0.4027)  7 Er 3.09-3.40, 1 Sm 3.31
Tl (0.2726, 0.5973, 0.9348)  7 Er 3.09-3.40, 1 Sm 3.31
Tl (0.4027, 0.0652, 0.7274)  7 Er 3.09-3.40, 1 Sm 3.31
Tl (0.5973, 0.9348, 0.2726)  7 Er 3.09-3.40, 1 Sm 3.31
Tl (0.7274, 0.4027, 0.0652)  7 Er 3.09-3.40, 1 Sm 3.31
Tl (0.9348, 0.2726, 0.5973)  7 Er 3.09-3.40, 1 Sm 3.31



(2)
This record from the Alexandria database describes a relaxed Sm3Er2Tl2 crystal. The functional is PBE.

Computed properties:
Crystal system ... orthorhombic
Energy of formation from the pure elements ... -0.099 eV per atom

Lattice parameters (Å, degrees): 5.0262 23.5922 3.5486 90.00 90.00 90.00
Closest atoms and distances in Å follow each position.
Atoms (fractional coordinates):
Sm (0.0000, 0.0000, 0.0000)  4 Sm 3.46-3.55, 8 Tl 3.53
Sm (0.0000, 0.1466, 0.0000)  3 Sm 3.46-3.55, 6 Er 3.46-3.75, 4 Tl 3.53
Sm (0.0000, 0.8534, 0.0000)  3 Sm 3.46-3.55, 6 Er 3.46-3.75, 4 Tl 3.53
Sm (0.5000, 0.3534, 0.0000)  3 Sm 3.46-3.55, 6 Er 3.46-3.75, 4 Tl 3.53
Sm (0.5000, 0.5000, 0.0000)  4 Sm 3.46-3.55, 8 Tl 3.53
Sm (0.5000, 0.6466, 0.0000)  3 Sm 3.46-3.55, 6 Er 3.46-3.75, 4 Tl 3.53
Er (0.0000, 0.2864, 0.5000)  2 Er 3.05, 1 Tl 3.32
Er (0.0000, 0.7136, 0.5000)  2 Er 3.05, 1 Tl 3.32
Er (0.5000, 0.2136, 0.5000)  2 Er 3.05, 1 Tl 3.32
Er (0.5000, 0.7864, 0.5000)  2 Er 3.05, 1 Tl 3.32
Tl (0.0000, 0.4270, 0.5000)  1 Er 3.32, 3 Tl 3.45-3.55, 8 Sm 3.53
Tl (0.0000, 0.5730, 0.5000)  1 Er 3.32, 3 Tl 3.45-3.55, 8 Sm 3.53
Tl (0.5000, 0.0730, 0.5000)  1 Er 3.32, 3 Tl 3.45-3.55, 8 Sm 3.53
Tl (0.5000, 0.9270, 0.5000)  1 Er 3.32, 3 Tl 3.45-3.55, 8 Sm 3.53